The following is a GGA-PBEsol calculation of a relaxed structure of MgSc, from Alexandria via LeMat-Bulk.

It has space group Cm (No. 8), with a = 11.966 Å, b = 3.194 Å, c = 7.523 Å, α = 90.00°, β = 105.04° and γ = 90.00°. The asymmetric unit holds Mg at (0.000, 0.000, 0.000), Mg at (0.059, 0.000, 0.602), Mg at (0.167, 0.500, 0.327), Sc at (0.223, 0.500, 0.933), Sc at (0.340, 0.000, 0.668) and Sc at (0.383, 0.000, 0.268).

For the final energy, the calculation gives -49.55 eV/cell. Its formation enthalpy at 0 K is 0.032 eV per atom. The value obtained for the density of states at the Fermi level is 15.49 states/eV/cell. The magnetization is 0.3337 μB/atom.